1.
Here is CaPr2InO after structural relaxation from the Alexandria database. Energies are from PBE.

```
CaPr2InO
1.0
5.051 0.000 0.000
0.000 5.051 0.000
0.000 0.000 4.857
Ca Pr In O
1 2 1 1
Direct
0.000 0.000 0.000
0.000 0.500 0.500
0.500 0.000 0.500
0.500 0.500 0.000
0.000 0.000 0.500
```

The density comes out at 6.1 g/cm3. The value obtained for the uncorrected formation energy is -1389 meV/atom. As for the space-group type: P4/mmm (123). As for the crystal system: tetragonal. The calculation puts the total DFT energy (no corrections) at -26.20 eV/f.u.



2.
Here is TbGa4 after structural relaxation from the Alexandria database. Energies are from PBE.

```
TbGa4
1.0
-2.264 3.142 6.767
2.264 -3.142 6.767
2.264 3.142 -6.767
Tb Ga
2 8
Direct
0.364 0.114 0.250
0.636 0.886 0.750
0.000 0.500 0.500
0.142 0.892 0.250
0.160 0.699 0.461
0.262 0.301 0.961
0.500 0.500 0.000
0.738 0.699 0.039
0.840 0.301 0.539
0.858 0.108 0.750
```

The density comes out at 7.6 g/cm3. The offset from the most stable computed form comes out at 0.000 eV per atom. As for the space-group type: Imma (74). As for the formation energy: -426 meV per atom. As for the crystal system: orthorhombic. The calculation puts the total DFT energy (no corrections) at -18.87 eV/f.u.



3.
Here is AcLa2Nd3 after structural relaxation from the Alexandria database. Energies are from PBE.

```
AcLa2Nd3
1.0
6.500 -3.085 0.000
6.500 3.085 0.000
-3.438 0.000 11.163
Ac La Nd
2 4 6
Direct
0.122 0.122 0.287
0.878 0.878 0.713
0.143 0.143 0.632
0.378 0.378 0.908
0.622 0.622 0.092
0.857 0.857 0.368
0.133 0.133 0.961
0.377 0.377 0.522
0.390 0.390 0.215
0.610 0.610 0.785
0.623 0.623 0.478
0.867 0.867 0.039
```

The density comes out at 7.0 g/cm3. The offset from the most stable computed form comes out at 0.000 eV per atom. As for the space-group type: C2/m (12). As for the formation energy: 95 meV per atom. As for the crystal system: monoclinic. The calculation puts the total DFT energy (no corrections) at -27.70 eV/f.u.



4.
Here is ZrAs2Ir after structural relaxation from the Alexandria database. Energies are from PBE.

```
ZrAs2Ir
1.0
3.572 0.000 0.000
0.000 3.572 0.000
0.000 0.000 5.604
Zr As Ir
1 2 1
Direct
0.000 0.000 0.000
0.000 0.000 0.511
0.500 0.500 0.172
0.500 0.500 0.650
```

The density comes out at 10.1 g/cm3. The offset from the most stable computed form comes out at 0.062 eV per atom. As for the space-group type: P4mm (99). As for the formation energy: -501 meV per atom. As for the crystal system: tetragonal. The calculation puts the total DFT energy (no corrections) at -28.71 eV/f.u.



5.
Here is K2MgCo after structural relaxation from the Alexandria database. Energies are from PBE.

```
K2MgCo
1.0
1.712 0.989 12.044
-1.712 0.989 12.044
0.000 -1.977 12.044
K Mg Co
2 1 1
Direct
0.240 0.240 0.240
0.760 0.760 0.760
0.000 0.000 0.000
0.500 0.500 0.500
```

The density comes out at 2.2 g/cm3. As for the space-group type: R-3m (166). As for the formation energy: 883 meV per atom. As for the crystal system: trigonal. The calculation puts the total DFT energy (no corrections) at -7.36 eV/f.u.



6.
Here is Ce4TlHg after structural relaxation from the Alexandria database. Energies are from PBE.

```
Ce4TlHg
1.0
6.093 0.000 0.000
0.798 6.245 0.000
3.040 -0.021 8.653
Ce Tl Hg
8 2 2
Direct
0.006 0.038 0.147
0.130 0.532 0.315
0.152 0.538 0.853
0.445 0.030 0.685
0.555 0.970 0.315
0.848 0.462 0.147
0.870 0.468 0.685
0.994 0.962 0.853
0.497 0.250 0.005
0.503 0.750 0.995
0.000 0.000 0.500
0.500 0.500 0.500
```

The density comes out at 9.7 g/cm3. The offset from the most stable computed form comes out at 0.017 eV per atom. As for the space-group type: P-1 (2). As for the formation energy: -105 meV per atom. As for the crystal system: triclinic. The calculation puts the total DFT energy (no corrections) at -27.03 eV/f.u.



7.
Here is Ba2LaIn after structural relaxation from the Alexandria database. Energies are from PBE.

```
Ba2LaIn
1.0
5.303 0.000 0.000
0.000 5.303 0.000
0.000 0.000 5.688
Ba La In
2 1 1
Direct
0.000 0.500 0.000
0.500 0.000 0.000
0.000 0.000 0.500
0.500 0.500 0.500
```

The density comes out at 5.5 g/cm3. As for the space-group type: P4/mmm (123). As for the formation energy: -88 meV per atom. As for the crystal system: tetragonal. The calculation puts the total DFT energy (no corrections) at -11.86 eV/f.u.



8.
Here is La2Pm3Cd2 after structural relaxation from the Alexandria database. Energies are from PBE.

```
La2Pm3Cd2
1.0
5.927 -2.715 0.000
5.927 2.715 0.000
-0.181 0.000 6.940
La Pm Cd
2 3 2
Direct
0.103 0.103 0.318
0.897 0.897 0.682
0.205 0.205 0.829
0.500 0.500 0.000
0.795 0.795 0.171
0.383 0.383 0.416
0.617 0.617 0.584
```

The density comes out at 7.0 g/cm3. The offset from the most stable computed form comes out at 0.000 eV per atom. As for the space-group type: C2/m (12). As for the formation energy: -147 meV per atom. As for the crystal system: monoclinic. The calculation puts the total DFT energy (no corrections) at -26.96 eV/f.u.



9.
Here is PaBiTe4 after structural relaxation from the Alexandria database. Energies are from PBE.

```
PaBiTe4
1.0
7.615 0.000 0.000
0.000 7.539 0.000
-0.103 0.000 7.519
Pa Bi Te
2 2 8
Direct
0.000 0.000 0.000
0.000 0.500 0.500
0.500 0.000 0.500
0.500 0.500 0.000
0.142 0.157 0.346
0.142 0.343 0.846
0.340 0.638 0.361
0.340 0.862 0.861
0.660 0.138 0.139
0.660 0.362 0.639
0.858 0.657 0.154
0.858 0.843 0.654
```

The density comes out at 7.3 g/cm3. The offset from the most stable computed form comes out at 0.156 eV per atom. The value obtained for the uncorrected formation energy is -389 meV/atom. As for the space-group type: P2_1/c (14). As for the crystal system: monoclinic. The calculation puts the total DFT energy (no corrections) at -28.28 eV/f.u.



10.
Here is CrCdAu4 after structural relaxation from the Alexandria database. Energies are from PBE.

```
CrCdAu4
1.0
0.000 3.898 3.898
3.898 0.000 3.898
3.898 3.898 0.000
Cr Cd Au
1 1 4
Direct
0.000 0.000 0.000
0.250 0.250 0.250
0.125 0.625 0.625
0.625 0.125 0.625
0.625 0.625 0.125
0.625 0.625 0.625
```

The density comes out at 13.3 g/cm3. As for the space-group type: F-43m (216). As for the formation energy: 128 meV per atom. As for the crystal system: cubic. The calculation puts the total DFT energy (no corrections) at -22.88 eV/f.u.



11.
Here is Tb2Ce3UN6 after structural relaxation from the Alexandria database. Energies are from PBE.

```
Tb2Ce3UN6
1.0
3.030 -5.241 0.000
3.030 5.241 0.000
-2.019 0.000 5.799
Tb Ce U N
2 3 1 6
Direct
0.166 0.834 0.000
0.834 0.166 0.000
0.000 0.000 0.500
0.331 0.669 0.500
0.669 0.331 0.500
0.500 0.500 0.000
0.113 0.423 0.770
0.267 0.267 0.233
0.423 0.113 0.770
0.577 0.887 0.230
0.733 0.733 0.767
0.887 0.577 0.230
```

The density comes out at 9.6 g/cm3. The value obtained for the uncorrected formation energy is -1552 meV/atom. As for the space-group type: C2/m (12). As for the crystal system: monoclinic. The calculation puts the total DFT energy (no corrections) at -106.93 eV/f.u.



12.
Here is LaAs2SBr after structural relaxation from the Alexandria database. Energies are from PBE.

```
LaAs2SBr
1.0
4.871 0.000 0.000
0.000 4.871 0.000
0.000 0.000 5.233
La As S Br
1 2 1 1
Direct
0.000 0.000 0.000
0.000 0.500 0.500
0.500 0.000 0.500
0.500 0.500 0.500
0.500 0.500 0.000
```

The density comes out at 5.4 g/cm3. The offset from the most stable computed form comes out at 0.000 eV per atom. The value obtained for the uncorrected formation energy is -279 meV/atom. As for the space-group type: P4/mmm (123). As for the crystal system: tetragonal. The calculation puts the total DFT energy (no corrections) at -21.42 eV/f.u.



We obtain V values of 123.92, 192.58, 447.73, 71.49, 122.34, 329.25, 159.98, 223.36, 431.67, 118.45, 184.17, 124.15 Å³ per cell for the records listed above, in that order.